Record 1
## NdTaNb (GGA-PBE)

Data for a relaxed NdTaNb crystal.

Cell and atoms, written as POSCAR:
```
NdTaNb
1.0
0.000 3.347 3.347
3.347 0.000 3.347
3.347 3.347 0.000
Nd Ta Nb
1 1 1
Cartesian
0.000 0.000 0.000
3.347 3.347 3.347
1.674 1.674 1.674
```

Computed properties:
- V: 75.0 Å³ per cell
- ρ: 9.3 g/cm3
- Energy above the most stable polymorph in this dataset: 0 meV per atom
- Energy of formation from the pure elements: 933 meV/atom
- Space-group type: F-43m (216)


Record 2
## TbNdNb (GGA-PBE)

Data for a relaxed TbNdNb crystal.

Cell and atoms, written as POSCAR:
```
TbNdNb
1.0
0.000 3.620 3.620
3.620 0.000 3.620
3.620 3.620 0.000
Tb Nd Nb
1 1 1
Cartesian
0.000 0.000 0.000
3.620 3.620 3.620
5.430 5.430 5.430
```

Computed properties:
- V: 94.9 Å³ per cell
- ρ: 6.9 g/cm3
- Energy of formation from the pure elements: 807 meV/atom
- Space-group type: F-43m (216)


Record 3
## NdNbTc (GGA-PBE)

Data for a relaxed NdNbTc crystal.

Cell and atoms, written as POSCAR:
```
NdNbTc
1.0
0.000 3.245 3.245
3.245 0.000 3.245
3.245 3.245 0.000
Nd Nb Tc
1 1 1
Cartesian
0.000 0.000 0.000
4.868 4.868 4.868
1.623 1.623 1.623
```

Computed properties:
- V: 68.3 Å³ per cell
- ρ: 8.1 g/cm3
- Energy above the most stable polymorph in this dataset: 792 meV per atom
- Energy of formation from the pure elements: 1513 meV/atom
- Space-group type: F-43m (216)


Record 4
## NdNbTc (GGA-PBE)

Data for a relaxed NdNbTc crystal.

Cell and atoms, written as POSCAR:
```
NdNbTc
1.0
0.000 3.246 3.246
3.246 0.000 3.246
3.246 3.246 0.000
Nd Nb Tc
1 1 1
Cartesian
0.000 0.000 0.000
1.623 1.623 1.623
3.246 3.246 3.246
```

Computed properties:
- V: 68.4 Å³ per cell
- ρ: 8.1 g/cm3
- Energy above the most stable polymorph in this dataset: 0 meV per atom
- Energy of formation from the pure elements: 721 meV/atom
- Space-group type: F-43m (216)


Record 5
## NdNbTe (GGA-PBE)

Data for a relaxed NdNbTe crystal.

Cell and atoms, written as POSCAR:
```
NdNbTe
1.0
5.440 0.000 0.000
-2.720 4.711 0.000
0.000 0.000 3.092
Nd Nb Te
1 1 1
Cartesian
0.000 0.000 0.000
2.720 1.570 0.000
0.000 3.141 0.000
```

Computed properties:
- V: 79.2 Å³ per cell
- ρ: 7.6 g/cm3
- Energy above the most stable polymorph in this dataset: 392 meV per atom
- Space-group type: P-6m2 (187)


Record 6
## NdNbTe (GGA-PBE)

Data for a relaxed NdNbTe crystal.

Cell and atoms, written as POSCAR:
```
NdNbTe
1.0
0.000 3.465 3.465
3.465 0.000 3.465
3.465 3.465 0.000
Nd Nb Te
1 1 1
Cartesian
0.000 0.000 0.000
3.465 3.465 3.465
5.197 5.197 5.197
```

Computed properties:
- V: 83.2 Å³ per cell
- ρ: 7.3 g/cm3
- Energy above the most stable polymorph in this dataset: 0 meV per atom
- Space-group type: F-43m (216)


Record 7
## NdTh2Nb2 (GGA-PBE)

Data for a relaxed NdTh2Nb2 crystal.

Cell and atoms, written as POSCAR:
```
NdTh2Nb2
1.0
5.290 0.000 0.000
-2.645 4.582 0.000
0.000 0.000 5.879
Nd Th Nb
1 2 2
Cartesian
0.000 0.000 0.000
0.000 3.054 3.720
2.645 1.527 2.159
0.000 3.054 0.543
2.645 1.527 5.337
```

Computed properties:
- V: 142.5 Å³ per cell
- ρ: 9.3 g/cm3
- Energy of formation from the pure elements: 413 meV/atom
- Space-group type: P-3m1 (164)


Record 8
## NdThNb (GGA-PBE)

Data for a relaxed NdThNb crystal.

Cell and atoms, written as POSCAR:
```
NdThNb
1.0
0.000 3.565 3.565
3.565 0.000 3.565
3.565 3.565 0.000
Nd Th Nb
1 1 1
Cartesian
0.000 0.000 0.000
3.565 3.565 3.565
1.783 1.783 1.783
```

Computed properties:
- V: 90.6 Å³ per cell
- ρ: 8.6 g/cm3
- Energy above the most stable polymorph in this dataset: 0 meV per atom
- Energy of formation from the pure elements: 612 meV/atom
- Space-group type: F-43m (216)


Record 9
## NdTmNb (GGA-PBE)

Data for a relaxed NdTmNb crystal.

Cell and atoms, written as POSCAR:
```
NdTmNb
1.0
0.000 3.605 3.605
3.605 0.000 3.605
3.605 3.605 0.000
Nd Tm Nb
1 1 1
Cartesian
0.000 0.000 0.000
3.605 3.605 3.605
1.803 1.803 1.803
```

Computed properties:
- V: 93.7 Å³ per cell
- ρ: 7.2 g/cm3
- Energy above the most stable polymorph in this dataset: 0 meV per atom
- Energy of formation from the pure elements: 812 meV/atom
- Space-group type: F-43m (216)


Record 10
## NdNbW (GGA-PBE)

Data for a relaxed NdNbW crystal.

Cell and atoms, written as POSCAR:
```
NdNbW
1.0
0.000 3.293 3.293
3.293 0.000 3.293
3.293 3.293 0.000
Nd Nb W
1 1 1
Cartesian
0.000 0.000 0.000
4.939 4.939 4.939
1.646 1.646 1.646
```

Computed properties:
- V: 71.4 Å³ per cell
- ρ: 9.8 g/cm3
- Energy above the most stable polymorph in this dataset: 1069 meV per atom
- Energy of formation from the pure elements: 1930 meV/atom
- Space-group type: F-43m (216)


Record 11
## NdNbW (GGA-PBE)

Data for a relaxed NdNbW crystal.

Cell and atoms, written as POSCAR:
```
NdNbW
1.0
0.000 3.306 3.306
3.306 0.000 3.306
3.306 3.306 0.000
Nd Nb W
1 1 1
Cartesian
0.000 0.000 0.000
3.306 3.306 3.306
4.958 4.958 4.958
```

Computed properties:
- V: 72.2 Å³ per cell
- ρ: 9.7 g/cm3
- Energy above the most stable polymorph in this dataset: 0 meV per atom
- Energy of formation from the pure elements: 861 meV/atom
- Space-group type: F-43m (216)


Record 12
## NdYNb (GGA-PBE)

Data for a relaxed NdYNb crystal.

Cell and atoms, written as POSCAR:
```
NdYNb
1.0
0.000 3.633 3.633
3.633 0.000 3.633
3.633 3.633 0.000
Nd Y Nb
1 1 1
Cartesian
0.000 0.000 0.000
3.633 3.633 3.633
1.816 1.816 1.816
```

Computed properties:
- V: 95.9 Å³ per cell
- ρ: 5.6 g/cm3
- Energy above the most stable polymorph in this dataset: 0 meV per atom
- Energy of formation from the pure elements: 818 meV/atom
- Space-group type: F-43m (216)